Computed, not measured: an optimized crystal structure of NaY2Sb2 at the GGA-PBE level of DFT.

The structure in POSCAR format:
```
NaY2Sb2
1.0
-2.313 2.313 7.822
2.313 -2.313 7.822
2.313 2.313 -7.822
Na Y Sb
1 2 2
direct
0.000 0.000 0.000 Na
0.384 0.384 0.000 Y
0.616 0.616 0.000 Y
0.250 0.750 0.500 Sb
0.750 0.250 0.500 Sb
```

Formation energy from raw total energies = -0.21 eV/atom
Distance to the lowest polymorph of the same formula = 592 meV per atom

=====

Computed, not measured: an optimized crystal structure of NaY3Sb at the GGA-PBE level of DFT.

The structure in POSCAR format:
```
NaY3Sb
1.0
5.419 0.000 0.000
0.000 5.419 0.000
0.000 0.000 5.419
Na Y Sb
1 3 1
direct
0.000 0.000 0.000 Na
0.000 0.000 0.500 Y
0.000 0.500 0.000 Y
0.500 0.000 0.000 Y
0.500 0.500 0.500 Sb
```

Formation energy from raw total energies = 0.59 eV/atom
Distance to the lowest polymorph of the same formula = 512 meV per atom

=====

Computed, not measured: an optimized crystal structure of NaY2Sb at the GGA-PBE level of DFT.

The structure in POSCAR format:
```
NaY2Sb
1.0
-4.305 4.305 3.454
4.305 -4.305 3.454
4.305 4.305 -3.454
Na Y Sb
2 4 2
direct
0.000 0.000 0.000 Na
0.750 0.250 0.500 Na
0.152 0.625 0.027 Y
0.375 0.402 0.527 Y
0.598 0.125 0.973 Y
0.875 0.848 0.473 Y
0.250 0.750 0.500 Sb
0.500 0.500 0.000 Sb
```

Formation energy from raw total energies = -0.09 eV/atom

=====

Computed, not measured: an optimized crystal structure of Na3YSb at the GGA-PBE level of DFT.

The structure in POSCAR format:
```
Na3YSb
1.0
6.037 0.000 0.000
0.000 6.037 0.000
0.000 0.000 6.037
Na Y Sb
3 1 1
direct
0.000 0.000 0.500 Na
0.000 0.500 0.000 Na
0.500 0.000 0.000 Na
0.000 0.000 0.000 Y
0.500 0.500 0.500 Sb
```

Formation energy from raw total energies = 1.02 eV/atom
Distance to the lowest polymorph of the same formula = 702 meV per atom

=====

Computed, not measured: an optimized crystal structure of NaYSb2 at the GGA-PBE level of DFT.

The structure in POSCAR format:
```
NaYSb2
1.0
0.000 3.798 3.798
3.798 0.000 3.798
3.798 3.798 0.000
Na Y Sb
1 1 2
direct
0.000 0.000 0.000 Na
0.500 0.500 0.500 Y
0.250 0.250 0.250 Sb
0.750 0.750 0.750 Sb
```

Formation energy from raw total energies = -0.52 eV/atom
Distance to the lowest polymorph of the same formula = 97 meV per atom

=====

Computed, not measured: an optimized crystal structure of NaYSb2 at the GGA-PBE level of DFT.

The structure in POSCAR format:
```
NaYSb2
1.0
-4.158 4.158 3.318
4.158 -4.158 3.318
4.158 4.158 -3.318
Na Y Sb
2 2 4
direct
0.000 0.000 0.000 Na
0.750 0.250 0.500 Na
0.250 0.750 0.500 Y
0.500 0.500 0.000 Y
0.120 0.125 0.495 Sb
0.375 0.880 0.005 Sb
0.630 0.625 0.505 Sb
0.875 0.370 0.995 Sb
```

Formation energy from raw total energies = -0.44 eV/atom
Distance to the lowest polymorph of the same formula = 174 meV per atom

=====

Computed, not measured: an optimized crystal structure of Na2YSb at the GGA-PBE level of DFT.

The structure in POSCAR format:
```
Na2YSb
1.0
-2.204 2.204 12.627
2.204 -2.204 12.627
2.204 2.204 -12.627
Na Y Sb
4 2 2
direct
0.108 0.625 0.983 Na
0.375 0.358 0.483 Na
0.642 0.125 0.017 Na
0.875 0.892 0.517 Na
0.250 0.750 0.500 Y
0.500 0.500 0.000 Y
0.000 0.000 0.000 Sb
0.750 0.250 0.500 Sb
```

Formation energy from raw total energies = -0.29 eV/atom

=====

Computed, not measured: an optimized crystal structure of NaY2Sb2 at the GGA-PBE level of DFT.

The structure in POSCAR format:
```
NaY2Sb2
1.0
-2.587 2.587 6.690
2.587 -2.587 6.690
2.587 2.587 -6.690
Na Y Sb
1 2 2
direct
0.000 0.000 0.000 Na
0.250 0.750 0.500 Y
0.750 0.250 0.500 Y
0.370 0.370 0.000 Sb
0.630 0.630 0.000 Sb
```

Formation energy from raw total energies = -0.56 eV/atom
Distance to the lowest polymorph of the same formula = 235 meV per atom

=====

Computed, not measured: an optimized crystal structure of NaYSb2 at the GGA-PBE level of DFT.

The structure in POSCAR format:
```
NaYSb2
1.0
2.387 1.378 6.210
-2.387 1.378 6.210
0.000 -2.757 6.210
Na Y Sb
1 1 2
direct
0.000 0.000 0.000 Na
0.181 0.181 0.181 Y
0.596 0.596 0.596 Sb
0.760 0.760 0.760 Sb
```

Formation energy from raw total energies = -0.57 eV/atom
Distance to the lowest polymorph of the same formula = 39 meV per atom

=====

Computed, not measured: an optimized crystal structure of Na2YZnSb at the GGA-PBE level of DFT.

The structure in POSCAR format:
```
Na2YZnSb
1.0
5.984 0.000 0.000
0.000 5.984 0.000
0.000 0.000 5.377
Na Y Zn Sb
2 1 1 1
direct
0.000 0.500 0.000 Na
0.500 0.000 0.000 Na
0.000 0.000 0.000 Y
0.000 0.000 0.500 Zn
0.500 0.500 0.500 Sb
```

Formation energy from raw total energies = 0.91 eV/atom

=====

Computed, not measured: an optimized crystal structure of Na2ZnSb at the GGA-PBE level of DFT.

The structure in POSCAR format:
```
Na2ZnSb
1.0
-2.215 2.215 10.598
2.215 -2.215 10.598
2.215 2.215 -10.598
Na Zn Sb
4 2 2
direct
0.123 0.625 0.998 Na
0.375 0.373 0.498 Na
0.627 0.125 0.002 Na
0.875 0.877 0.502 Na
0.000 0.000 0.000 Zn
0.750 0.250 0.500 Zn
0.250 0.750 0.500 Sb
0.500 0.500 0.000 Sb
```

Formation energy from raw total energies = 0.03 eV/atom
Distance to the lowest polymorph of the same formula = 197 meV per atom

=====

Computed, not measured: an optimized crystal structure of NaZn2Sb2 at the GGA-PBE level of DFT.

The structure in POSCAR format:
```
NaZn2Sb2
1.0
8.229 0.000 0.000
0.000 8.229 0.000
0.000 0.000 3.501
Na Zn Sb
2 4 4
direct
0.000 0.000 0.000 Na
0.500 0.500 0.000 Na
0.138 0.362 0.500 Zn
0.362 0.862 0.500 Zn
0.638 0.138 0.500 Zn
0.862 0.638 0.500 Zn
0.155 0.655 0.000 Sb
0.345 0.155 0.000 Sb
0.655 0.845 0.000 Sb
0.845 0.345 0.000 Sb
```

Formation energy from raw total energies = 0.01 eV/atom
Distance to the lowest polymorph of the same formula = 163 meV per atom

=====

Computed, not measured: an optimized crystal structure of NaZn2Sb2 at the GGA-PBE level of DFT.

The structure in POSCAR format:
```
NaZn2Sb2
1.0
5.932 0.000 0.000
2.337 6.300 0.000
1.973 2.452 7.456
Na Zn Sb
2 4 4
direct
0.068 0.286 0.339 Na
0.932 0.714 0.661 Na
0.216 0.151 0.829 Zn
0.491 0.571 0.222 Zn
0.509 0.429 0.778 Zn
0.784 0.849 0.171 Zn
0.203 0.724 0.971 Sb
0.474 0.780 0.466 Sb
0.526 0.220 0.534 Sb
0.797 0.276 0.029 Sb
```

Formation energy from raw total energies = -0.08 eV/atom
Distance to the lowest polymorph of the same formula = 79 meV per atom

=====

Computed, not measured: an optimized crystal structure of Na4Zn5Sb6 at the GGA-PBE level of DFT.

The structure in POSCAR format:
```
Na4Zn5Sb6
1.0
2.221 -10.098 0.000
2.221 10.098 0.000
0.000 0.000 17.256
Na Zn Sb
8 10 12
direct
0.002 0.998 0.500 Na
0.021 0.979 0.766 Na
0.176 0.824 0.313 Na
0.178 0.822 0.953 Na
0.822 0.178 0.453 Na
0.824 0.176 0.813 Na
0.979 0.021 0.266 Na
0.998 0.002 0.000 Na
0.138 0.862 0.638 Zn
0.290 0.710 0.640 Zn
0.360 0.640 0.999 Zn
0.361 0.639 0.255 Zn
0.423 0.577 0.700 Zn
0.577 0.423 0.200 Zn
0.639 0.361 0.755 Zn
0.640 0.360 0.499 Zn
0.710 0.290 0.140 Zn
0.862 0.138 0.138 Zn
0.123 0.877 0.126 Sb
0.215 0.785 0.508 Sb
0.216 0.784 0.769 Sb
0.429 0.571 0.391 Sb
0.435 0.565 0.863 Sb
0.448 0.552 0.129 Sb
0.552 0.448 0.629 Sb
0.565 0.435 0.363 Sb
0.571 0.429 0.891 Sb
0.784 0.216 0.269 Sb
0.785 0.215 0.008 Sb
0.877 0.123 0.626 Sb
```

Formation energy from raw total energies = -0.20 eV/atom

=====

Computed, not measured: an optimized crystal structure of Na2ZnSb2 at the GGA-PBE level of DFT.

The structure in POSCAR format:
```
Na2ZnSb2
1.0
5.693 -2.449 0.000
5.693 2.449 0.000
-5.388 0.000 9.710
Na Zn Sb
4 2 4
direct
0.012 0.012 0.186 Na
0.178 0.178 0.598 Na
0.822 0.822 0.402 Na
0.988 0.988 0.814 Na
0.285 0.285 0.149 Zn
0.715 0.715 0.851 Zn
0.353 0.353 0.940 Sb
0.479 0.479 0.619 Sb
0.521 0.521 0.381 Sb
0.647 0.647 0.060 Sb
```

Formation energy from raw total energies = -0.29 eV/atom
Distance to the lowest polymorph of the same formula = 0 meV per atom

=====

Computed, not measured: an optimized crystal structure of NaZn4Sb3 at the GGA-PBE level of DFT.

The structure in POSCAR format:
```
NaZn4Sb3
1.0
4.336 0.000 0.000
0.000 4.336 0.000
0.000 0.000 10.852
Na Zn Sb
1 4 3
direct
0.000 0.000 0.000 Na
0.000 0.500 0.332 Zn
0.000 0.500 0.668 Zn
0.500 0.000 0.332 Zn
0.500 0.000 0.668 Zn
0.000 0.000 0.500 Sb
0.500 0.500 0.180 Sb
0.500 0.500 0.820 Sb
```

Formation energy from raw total energies = -0.06 eV/atom
Distance to the lowest polymorph of the same formula = 41 meV per atom

=====

Computed, not measured: an optimized crystal structure of Na2ZnSb2 at the GGA-PBE level of DFT.

The structure in POSCAR format:
```
Na2ZnSb2
1.0
7.326 0.000 0.000
0.000 7.326 0.000
0.000 0.000 5.107
Na Zn Sb
4 2 4
direct
0.165 0.335 0.000 Na
0.335 0.835 0.000 Na
0.665 0.165 0.000 Na
0.835 0.665 0.000 Na
0.000 0.000 0.500 Zn
0.500 0.500 0.500 Zn
0.145 0.645 0.500 Sb
0.355 0.145 0.500 Sb
0.645 0.855 0.500 Sb
0.855 0.355 0.500 Sb
```

Formation energy from raw total energies = -0.23 eV/atom
Distance to the lowest polymorph of the same formula = 58 meV per atom

=====

Computed, not measured: an optimized crystal structure of NaZn4Sb at the GGA-PBE level of DFT.

The structure in POSCAR format:
```
NaZn4Sb
1.0
0.000 3.856 3.856
3.856 0.000 3.856
3.856 3.856 0.000
Na Zn Sb
1 4 1
direct
0.000 0.000 0.000 Na
0.374 0.374 0.374 Zn
0.374 0.374 0.877 Zn
0.374 0.877 0.374 Zn
0.877 0.374 0.374 Zn
0.750 0.750 0.750 Sb
```

Formation energy from raw total energies = 0.00 eV/atom

=====

Computed, not measured: an optimized crystal structure of NaZn3Sb at the GGA-PBE level of DFT.

The structure in POSCAR format:
```
NaZn3Sb
1.0
5.365 0.000 0.000
0.000 5.365 0.000
0.000 0.000 5.365
Na Zn Sb
1 3 1
direct
0.000 0.000 0.000 Na
0.000 0.500 0.500 Zn
0.500 0.000 0.500 Zn
0.500 0.500 0.000 Zn
0.500 0.500 0.500 Sb
```

Formation energy from raw total energies = 0.37 eV/atom
Distance to the lowest polymorph of the same formula = 0 meV per atom

=====

Computed, not measured: an optimized crystal structure of NaZnSb2 at the GGA-PBE level of DFT.

The structure in POSCAR format:
```
NaZnSb2
1.0
-2.678 2.678 8.849
2.678 -2.678 8.849
2.678 2.678 -8.849
Na Zn Sb
2 2 4
direct
0.000 0.000 0.000 Na
0.750 0.250 0.500 Na
0.250 0.750 0.500 Zn
0.500 0.500 0.000 Zn
0.234 0.625 0.109 Sb
0.375 0.484 0.609 Sb
0.516 0.125 0.891 Sb
0.875 0.766 0.391 Sb
```

Formation energy from raw total energies = -0.04 eV/atom

=====

Computed, not measured: an optimized crystal structure of NaZnSb2 at the GGA-PBE level of DFT.

The structure in POSCAR format:
```
NaZnSb2
1.0
1.804 1.041 8.999
-1.804 1.041 8.999
0.000 -2.083 8.999
Na Zn Sb
1 1 2
direct
0.000 0.000 0.000 Na
0.500 0.500 0.500 Zn
0.239 0.239 0.239 Sb
0.761 0.761 0.761 Sb
```

Formation energy from raw total energies = -0.05 eV/atom

=====

Computed, not measured: an optimized crystal structure of NaZn2Sb at the GGA-PBE level of DFT.

The structure in POSCAR format:
```
NaZn2Sb
1.0
4.355 0.000 0.000
0.000 4.355 0.000
0.000 0.000 10.142
Na Zn Sb
2 4 2
direct
0.250 0.250 0.240 Na
0.750 0.750 0.760 Na
0.250 0.250 0.954 Zn
0.250 0.750 0.500 Zn
0.750 0.250 0.500 Zn
0.750 0.750 0.046 Zn
0.250 0.250 0.668 Sb
0.750 0.750 0.332 Sb
```

Formation energy from raw total energies = -0.07 eV/atom

=====

Computed, not measured: an optimized crystal structure of Na3Zn2Sb2 at the GGA-PBE level of DFT.

The structure in POSCAR format:
```
Na3Zn2Sb2
1.0
5.727 0.000 0.000
0.000 9.476 0.000
0.000 0.000 13.819
Na Zn Sb
12 8 8
direct
0.122 0.150 0.114 Na
0.122 0.150 0.386 Na
0.122 0.350 0.614 Na
0.122 0.350 0.886 Na
0.347 0.728 0.750 Na
0.347 0.772 0.250 Na
0.653 0.228 0.750 Na
0.653 0.272 0.250 Na
0.878 0.650 0.114 Na
0.878 0.650 0.386 Na
0.878 0.850 0.614 Na
0.878 0.850 0.886 Na
0.371 0.027 0.580 Zn
0.371 0.027 0.920 Zn
0.371 0.473 0.080 Zn
0.371 0.473 0.420 Zn
0.629 0.527 0.580 Zn
0.629 0.527 0.920 Zn
0.629 0.973 0.080 Zn
0.629 0.973 0.420 Zn
0.156 0.063 0.750 Sb
0.156 0.437 0.250 Sb
0.374 0.750 0.000 Sb
0.374 0.750 0.500 Sb
0.626 0.250 0.000 Sb
0.626 0.250 0.500 Sb
0.844 0.563 0.750 Sb
0.844 0.937 0.250 Sb
```

Formation energy from raw total energies = -0.24 eV/atom

=====

Computed, not measured: an optimized crystal structure of Na5ZnSb2 at the GGA-PBE level of DFT.

The structure in POSCAR format:
```
Na5ZnSb2
1.0
2.677 1.545 9.023
-2.677 1.545 9.023
0.000 -3.091 9.023
Na Zn Sb
5 1 2
direct
0.000 0.000 0.000 Na
0.126 0.126 0.126 Na
0.277 0.277 0.277 Na
0.723 0.723 0.723 Na
0.874 0.874 0.874 Na
0.500 0.500 0.500 Zn
0.404 0.404 0.404 Sb
0.596 0.596 0.596 Sb
```

Formation energy from raw total energies = -0.31 eV/atom
Distance to the lowest polymorph of the same formula = 0 meV per atom